# PBE+U Mn2V3SnO8, relaxed
# Theoretical density = 4.870 g/cm³
# Uncorrected energy = -7.593 eV/atom
# M_tot = 45.2 Bohr magnetons per cell
data_Mn2V3SnO8
_symmetry_space_group_name_H-M 'R 3 m'
_symmetry_Int_Tables_number 160
_symmetry_space_group_name_Hall 'R 3 -2"'
_cell_length_a 6.2100
_cell_length_b 6.2100
_cell_length_c 15.6028
_cell_angle_alpha 90.00
_cell_angle_beta 90.00
_cell_angle_gamma 120.00
loop_
_atom_site_label
_atom_site_fract_x
_atom_site_fract_y
_atom_site_fract_z
Mn1 0.0000 0.0000 0.0000
Mn2 0.0000 0.0000 0.3749
V1 0.0060 0.5030 0.8768
Sn1 0.0000 0.0000 0.7515
O1 0.0000 0.0000 0.1360
O2 0.0000 0.0000 0.6105
O3 0.0334 0.5167 0.1374
O4 0.1805 0.3610 0.9478